1.
# SnAuNO (GGA-PBE, optimized geometry)
# **E above lowest polymorph**: 233 meV per atom
data_SnAuNO
_space_group_name_H-M_alt 'P 1'
_space_group_IT_number 1
_space_group_name_Hall 'P 1'
_cell_length_a 5.7675
_cell_length_b 6.2674
_cell_length_c 6.9651
_cell_angle_alpha 90.00
_cell_angle_beta 90.00
_cell_angle_gamma 90.00
loop_
_atom_site_label
_atom_site_type_symbol
_atom_site_fract_x
_atom_site_fract_y
_atom_site_fract_z
Au1 Au 0.0542 0.5190 0.3448
Au2 Au 0.5542 0.9810 0.3448
Au3 Au 0.0542 0.0190 0.6552
Au4 Au 0.5542 0.4810 0.6552
N1 N 0.5637 0.1191 0.0665
N2 N 0.0637 0.3809 0.0665
N3 N 0.5637 0.6191 0.9335
N4 N 0.0637 0.8809 0.9335
O1 O 0.1522 0.0694 0.3749
O2 O 0.6522 0.4306 0.3749
O3 O 0.1522 0.5694 0.6251
O4 O 0.6522 0.9306 0.6251
Sn1 Sn 0.9324 0.0768 0.1491
Sn2 Sn 0.4324 0.4232 0.1491
Sn3 Sn 0.9324 0.5768 0.8509
Sn4 Sn 0.4324 0.9232 0.8509

2.
# SnAuNO (GGA-PBE, optimized geometry)
# **E above lowest polymorph**: 308 meV per atom
data_SnAuNO
_space_group_name_H-M_alt 'P 1'
_space_group_IT_number 1
_space_group_name_Hall 'P 1'
_cell_length_a 3.6107
_cell_length_b 5.9363
_cell_length_c 6.1998
_cell_angle_alpha 90.00
_cell_angle_beta 90.00
_cell_angle_gamma 90.00
loop_
_atom_site_label
_atom_site_type_symbol
_atom_site_fract_x
_atom_site_fract_y
_atom_site_fract_z
Au1 Au 0.5000 0.9725 0.2056
Au2 Au 0.5000 0.4725 0.7944
N1 N 0.0000 0.8566 0.3564
N2 N 0.0000 0.3566 0.6436
O1 O 0.5000 0.4226 0.1939
O2 O 0.5000 0.9226 0.8061
Sn1 Sn 0.0000 0.5023 0.3354
Sn2 Sn 0.0000 0.0023 0.6646

3.
# SnAuNO (GGA-PBE, optimized geometry)
# **E above lowest polymorph**: 546 meV per atom
data_SnAuNO
_space_group_name_H-M_alt 'P 1'
_space_group_IT_number 1
_space_group_name_Hall 'P 1'
_cell_length_a 4.8385
_cell_length_b 4.8385
_cell_length_c 4.6219
_cell_angle_alpha 90.00
_cell_angle_beta 90.00
_cell_angle_gamma 90.00
loop_
_atom_site_label
_atom_site_type_symbol
_atom_site_fract_x
_atom_site_fract_y
_atom_site_fract_z
Au1 Au 0.7500 0.7500 0.0007
Au2 Au 0.2500 0.2500 0.9993
N1 N 0.2500 0.2500 0.4988
N2 N 0.7500 0.7500 0.5012
O1 O 0.7500 0.2500 0.0000
O2 O 0.2500 0.7500 0.0000
Sn1 Sn 0.7500 0.2500 0.5000
Sn2 Sn 0.2500 0.7500 0.5000